## HgP2Pt2 (PBE)

Data for a relaxed structure of HgP2Pt2.

Properties
For the density of states at the Fermi level, the calculation gives 0.59 states/eV/atom. As for the symmetry: I4/mmm. The excess energy over the best structure of this formula in the dataset is 103 meV per atom.

a = 4.3140 Å, b = 4.3140 Å, c = 5.9163 Å
α = 68.62°, β = 68.62°, γ = 90.00°
Closest atoms and distances in Å follow each position.
Element x y z (fractional)
P 0.7500 0.2500 0.5000  4 Pt 2.41
P 0.2500 0.7500 0.5000  4 Pt 2.41
Hg 0.0000 0.0000 0.0000  8 P 3.33, 10 Pt 3.38-3.62
Pt 0.3569 0.3569 0.2862  4 P 2.41
Pt 0.6431 0.6431 0.7138  4 P 2.41



## LiTmNp2O8 (PBE)

Data for a relaxed structure of LiTmNp2O8.

Properties
For the density of states at the Fermi level, the calculation gives 0.87 states/eV/atom. The calculation puts the formation energy from raw total energies at -64.12 kcal/mol of atoms. As for the symmetry: I-4m2.

a = 5.2296 Å, b = 5.2296 Å, c = 6.3503 Å
α = 114.32°, β = 114.32°, γ = 90.00°
Closest atoms and distances in Å follow each position.
Element x y z (fractional)
Li 0.7500 0.2500 0.5000  8 O 2.32
Tm 0.0000 0.0000 0.0000  8 O 2.30
Np 0.5000 0.5000 0.0000  8 O 2.20-2.21
Np 0.2500 0.7500 0.5000  8 O 2.20
O 0.8764 0.8562 0.2481  2 Np 2.20, 1 Tm 2.30, 1 Li 2.32, 1 O 2.43
O 0.3717 0.3919 0.2481  2 Np 2.20, 1 Tm 2.30, 1 Li 2.32, 1 O 2.43
O 0.6080 0.6280 0.7514  2 Np 2.20-2.21, 1 Tm 2.30, 1 Li 2.32, 1 O 2.43
O 0.1434 0.1234 0.7514  2 Np 2.20-2.21, 1 Tm 2.30, 1 Li 2.32, 1 O 2.43
O 0.8766 0.3920 0.2486  2 Np 2.20-2.21, 1 Tm 2.30, 1 Li 2.32, 1 O 2.43
O 0.3720 0.8566 0.2486  2 Np 2.20-2.21, 1 Tm 2.30, 1 Li 2.32, 1 O 2.43
O 0.1438 0.6283 0.7519  2 Np 2.20, 1 Tm 2.30, 1 Li 2.32, 1 O 2.43
O 0.6081 0.1236 0.7519  2 Np 2.20, 1 Tm 2.30, 1 Li 2.32, 1 O 2.43



## Cr3SiRh (PBE)

Data for a relaxed structure of Cr3SiRh.

Properties
For the density of states at the Fermi level, the calculation gives 1.00 states/eV/atom. The calculation puts the formation energy from raw total energies at 23.58 kcal/mol of atoms. As for the symmetry: Pm-3m. The excess energy over the best structure of this formula in the dataset is 0 meV per atom.

a = 4.2416 Å, b = 4.2416 Å, c = 4.2416 Å
α = 90.00°, β = 90.00°, γ = 90.00°
Closest atoms and distances in Å follow each position.
Element x y z (fractional)
Cr 0.0000 0.5000 0.0000  2 Si 2.12
Cr 0.0000 0.0000 0.5000  2 Si 2.12
Cr 0.5000 0.0000 0.0000  2 Si 2.12
Si 0.0000 0.0000 0.0000  6 Cr 2.12
Rh 0.5000 0.5000 0.5000  12 Cr 3.00



## SrY2Rh (PBE)

Data for a relaxed structure of SrY2Rh.

Properties
For the density of states at the Fermi level, the calculation gives 1.19 states/eV/atom. As for the symmetry: R-3m. The excess energy over the best structure of this formula in the dataset is 0 meV per atom.

a = 9.9774 Å, b = 9.9774 Å, c = 9.9774 Å
α = 23.60°, β = 23.60°, γ = 23.60°
Closest atoms and distances in Å follow each position.
Element x y z (fractional)
Rh 0.2500 0.2500 0.2500  6 Y 2.77
Sr 0.7500 0.7500 0.7500  6 Sr 4.08, 6 Y 4.14
Y 0.9664 0.9664 0.9664  3 Rh 2.77
Y 0.5336 0.5336 0.5336  3 Rh 2.77



## Pt2SeO2 (PBE)

Data for a relaxed structure of Pt2SeO2.

Properties
For the density of states at the Fermi level, the calculation gives 1.10 states/eV/atom. The calculation puts the formation energy from raw total energies at 7.72 kcal/mol of atoms. As for the symmetry: I4/mmm. The excess energy over the best structure of this formula in the dataset is 8 meV per atom.

a = 3.5985 Å, b = 3.5985 Å, c = 5.8568 Å
α = 72.11°, β = 72.11°, γ = 90.00°
Closest atoms and distances in Å follow each position.
Element x y z (fractional)
O 0.7500 0.2500 0.5000  4 Pt 2.20
O 0.2500 0.7500 0.5000  4 Pt 2.20
Se 0.0000 0.0000 0.0000  8 Pt 2.89, 8 O 3.19
Pt 0.3704 0.3704 0.2592  4 O 2.20
Pt 0.6296 0.6296 0.7408  4 O 2.20



## PuSc2Te (PBE)

Data for a relaxed structure of PuSc2Te.

Properties
For the density of states at the Fermi level, the calculation gives 1.82 states/eV/atom. The calculation puts the formation energy from raw total energies at -9.55 kcal/mol of atoms. As for the symmetry: P4/mmm. The excess energy over the best structure of this formula in the dataset is 0 meV per atom.

a = 3.6619 Å, b = 3.6619 Å, c = 7.1341 Å
α = 90.00°, β = 90.00°, γ = 90.00°
Closest atoms and distances in Å follow each position.
Element x y z (fractional)
Sc 0.0000 0.0000 0.7721  4 Te 3.06, 4 Pu 3.24, 1 Sc 3.25
Sc 0.0000 0.0000 0.2279  4 Te 3.06, 4 Pu 3.24, 1 Sc 3.25
Te 0.5000 0.5000 0.0000  8 Sc 3.06
Pu 0.5000 0.5000 0.5000  8 Sc 3.24, 2 Te 3.57



## LiSc2Br (PBE)

Data for a relaxed structure of LiSc2Br.

Properties
For the density of states at the Fermi level, the calculation gives 1.37 states/eV/atom. The calculation puts the formation energy from raw total energies at -4.53 kcal/mol of atoms. As for the symmetry: Cmmm. The excess energy over the best structure of this formula in the dataset is 226 meV per atom.

a = 3.3175 Å, b = 3.3175 Å, c = 9.4076 Å
α = 90.00°, β = 90.00°, γ = 115.88°
Closest atoms and distances in Å follow each position.
Element x y z (fractional)
Br 0.5000 0.5000 0.2500  4 Sc 2.83
Li 0.5000 0.5000 0.7500  4 Sc 3.05, 4 Li 3.32
Sc 0.0000 0.0000 0.0141  2 Br 2.83, 2 Li 3.05
Sc 0.0000 0.0000 0.4859  2 Br 2.83, 2 Li 3.05



## HfNiBi (PBE)

Data for a relaxed structure of HfNiBi.

Properties
For the density of states at the Fermi level, the calculation gives 0.65 states/eV/atom. The calculation puts the calculated total energy at -6.92 eV/atom. As for the symmetry: Pmma.

a = 3.9842 Å, b = 3.3195 Å, c = 10.2385 Å
α = 90.04°, β = 90.00°, γ = 90.00°
Closest atoms and distances in Å follow each position.
Element x y z (fractional)
Hf 0.2500 0.9997 0.8640  6 Ni 2.68-2.69
Hf 0.7500 0.0003 0.1360  6 Ni 2.68-2.69
Ni 0.2500 0.5002 0.0703  2 Ni 2.46, 6 Hf 2.68-2.69, 1 Bi 2.74
Ni 0.7500 0.4998 0.9297  2 Ni 2.46, 6 Hf 2.68-2.69, 1 Bi 2.74
Bi 0.7500 0.4992 0.6616  1 Ni 2.74
Bi 0.2500 0.5008 0.3384  1 Ni 2.74



## Na8CdAs2 (PBE)

Data for a relaxed structure of Na8CdAs2.

Properties
For the density of states at the Fermi level, the calculation gives 0.32 states/eV/atom. The calculation puts the calculated total energy at -2.15 eV/atom. As for the symmetry: Immm.

a = 4.9391 Å, b = 8.5469 Å, c = 8.4679 Å
α = 120.31°, β = 106.96°, γ = 90.00°
Closest atoms and distances in Å follow each position.
Element x y z (fractional)
Na 0.6663 0.8748 0.3326  3 Na 3.07-3.38, 3 As 3.08-3.11, 1 Cd 3.38
Na 0.3337 0.5422 0.6674  3 Na 3.07-3.38, 3 As 3.08-3.11, 1 Cd 3.38
Na 0.1524 0.1524 0.3049  2 Na 3.07, 2 As 3.21, 2 Cd 3.24
Na 0.0000 0.3225 0.0000  5 Na 3.03-3.38, 2 As 3.13
Na 0.8476 0.8476 0.6951  2 Na 3.07, 2 As 3.21, 2 Cd 3.24
Na 0.6663 0.4578 0.3326  3 Na 3.07-3.38, 3 As 3.08-3.11, 1 Cd 3.38
Na 0.3337 0.1252 0.6674  3 Na 3.07-3.38, 3 As 3.08-3.11, 1 Cd 3.38
Na 0.0000 0.6775 0.0000  5 Na 3.03-3.38, 2 As 3.13
Cd 0.5000 0.0000 0.0000  8 Na 3.24-3.38
As 0.1988 0.6988 0.3976  10 Na 3.08-3.21
As 0.8012 0.3012 0.6024  10 Na 3.08-3.21



Q: What is the formula in the fourth record?
A: SrY2Rh